[1]
VASP calculation (GGA-PBE) on a relaxed GaPOsO crystal.

Structure (CIF):
```
data_GaPOsO
_cell_length_a 3.4699
_cell_length_b 6.0979
_cell_length_c 5.4699
_cell_angle_alpha 90.00
_cell_angle_beta 90.00
_cell_angle_gamma 90.00
_space_group_name_H-M_alt 'P m c 21'
_space_group_IT_number 26
_space_group_name_Hall 'P 2c -2'
loop_
_atom_site_label
_atom_site_type_symbol
_atom_site_fract_x
_atom_site_fract_y
_atom_site_fract_z
_atom_site_occupancy
Ga1 Ga 0.0000 0.1001 0.0000 1
P1 P 0.0000 0.2986 0.4029 1
Os1 Os 0.5000 0.4654 0.5929 1
O1 O 0.5000 0.2375 0.8783 1
```

Properties
The polymorph energy (0 for the lowest one) comes out at 109.5 meV/atom. The value obtained for the calculated total energy is -52.222 eV for the cell shown.

[2]
VASP calculation (GGA-PBE) on a relaxed NbAlTc crystal.

Structure (CIF):
```
data_NbAlTc
_cell_length_a 3.2176
_cell_length_b 3.2176
_cell_length_c 9.0896
_cell_angle_alpha 90.00
_cell_angle_beta 90.00
_cell_angle_gamma 90.00
_space_group_name_H-M_alt 'P 4/n m m'
_space_group_IT_number 129
loop_
_space_group_symop_operation_xyz
'x,y,z'
'-x,-y,-z'
'-y+1/2,x,z'
'y+1/2,-x,-z'
'-x+1/2,-y+1/2,z'
'x+1/2,y+1/2,-z'
'y,-x+1/2,z'
'-y,x+1/2,-z'
'x+1/2,-y,-z'
'-x+1/2,y,z'
'-y,-x,-z'
'y,x,z'
'-x,y+1/2,-z'
'x,-y+1/2,z'
'y+1/2,x+1/2,-z'
'-y+1/2,-x+1/2,z'
loop_
_atom_site_label
_atom_site_type_symbol
_atom_site_fract_x
_atom_site_fract_y
_atom_site_fract_z
_atom_site_occupancy
Nb1 Nb 0.2500 0.2500 0.0991 1
Al1 Al 0.2500 0.2500 0.4186 1
Tc1 Tc 0.2500 0.2500 0.7380 1
```

Properties
The polymorph energy (0 for the lowest one) comes out at 0.0 meV/atom. The value obtained for the calculated total energy is -50.909 eV for the cell shown.

[3]
VASP calculation (GGA-PBE) on a relaxed NaPrB crystal.

Structure (CIF):
```
data_NaPrB
_cell_length_a 6.4516
_cell_length_b 6.4516
_cell_length_c 6.4516
_cell_angle_alpha 90.00
_cell_angle_beta 90.00
_cell_angle_gamma 90.00
_space_group_name_H-M_alt 'F -4 3 m'
_space_group_IT_number 216
_space_group_name_Hall 'F -4 2 3'
loop_
_atom_site_label
_atom_site_type_symbol
_atom_site_fract_x
_atom_site_fract_y
_atom_site_fract_z
_atom_site_occupancy
Na1 Na 0.0000 0.0000 0.0000 1
Pr1 Pr 0.0000 0.0000 0.5000 1
B1 B 0.2500 0.2500 0.2500 1
```

Properties
The polymorph energy (0 for the lowest one) comes out at 0.0 meV/atom. The value obtained for the calculated total energy is -45.486 eV for the cell shown.

[4]
VASP calculation (GGA-PBE) on a relaxed TbTlCoTe3 crystal.

Structure (CIF):
```
data_TbTlCoTe3
_cell_length_a 4.1950
_cell_length_b 16.0237
_cell_length_c 11.2719
_cell_angle_alpha 90.00
_cell_angle_beta 90.00
_cell_angle_gamma 90.00
_space_group_name_H-M_alt 'C m c m'
_space_group_IT_number 63
_space_group_name_Hall '-C 2c 2'
loop_
_atom_site_label
_atom_site_type_symbol
_atom_site_fract_x
_atom_site_fract_y
_atom_site_fract_z
_atom_site_occupancy
Tb1 Tb 0.0000 0.0000 0.0000 1
Tl1 Tl 0.0000 0.2440 0.2500 1
Co1 Co 0.0000 0.4751 0.7500 1
Te1 Te 0.0000 0.0739 0.7500 1
Te2 Te 0.0000 0.3709 0.5744 1
```

Properties
The value obtained for the calculated total energy is -108.612 eV for the cell shown.

[5]
VASP calculation (GGA-PBE) on a relaxed KAgPtSe3 crystal.

Structure (CIF):
```
data_KAgPtSe3
_cell_length_a 3.8847
_cell_length_b 14.8110
_cell_length_c 10.6469
_cell_angle_alpha 90.00
_cell_angle_beta 90.00
_cell_angle_gamma 90.00
_space_group_name_H-M_alt 'C m c m'
_space_group_IT_number 63
_space_group_name_Hall '-C 2c 2'
loop_
_atom_site_label
_atom_site_type_symbol
_atom_site_fract_x
_atom_site_fract_y
_atom_site_fract_z
_atom_site_occupancy
K1 K 0.0000 0.2410 0.2500 1
Ag1 Ag 0.0000 0.0694 0.7500 1
Pt1 Pt 0.0000 0.5000 0.0000 1
Se1 Se 0.0000 0.1117 0.5164 1
Se2 Se 0.0000 0.4459 0.7500 1
```

Properties
The polymorph energy (0 for the lowest one) comes out at 107.3 meV/atom. The value obtained for the calculated total energy is -90.889 eV for the cell shown.

[6]
VASP calculation (GGA-PBE) on a relaxed CuNiMoAu crystal.

Structure (CIF):
```
data_CuNiMoAu
_cell_length_a 6.1200
_cell_length_b 6.1200
_cell_length_c 6.1200
_cell_angle_alpha 90.00
_cell_angle_beta 90.00
_cell_angle_gamma 90.00
_space_group_name_H-M_alt 'F -4 3 m'
_space_group_IT_number 216
_space_group_name_Hall 'F -4 2 3'
loop_
_atom_site_label
_atom_site_type_symbol
_atom_site_fract_x
_atom_site_fract_y
_atom_site_fract_z
_atom_site_occupancy
Cu1 Cu 0.0000 0.0000 0.0000 1
Ni1 Ni 0.2500 0.2500 0.2500 1
Mo1 Mo 0.0000 0.0000 0.5000 1
Au1 Au 0.2500 0.2500 0.7500 1
```

Properties
The polymorph energy (0 for the lowest one) comes out at 117.0 meV/atom. The value obtained for the calculated total energy is -88.587 eV for the cell shown. The calculation puts the energy of formation at 0.313 eV/atom.

[7]
VASP calculation (GGA-PBE) on a relaxed NdDyTh crystal.

Structure (CIF):
```
data_NdDyTh
_cell_length_a 7.7114
_cell_length_b 7.7114
_cell_length_c 7.7114
_cell_angle_alpha 90.00
_cell_angle_beta 90.00
_cell_angle_gamma 90.00
_space_group_name_H-M_alt 'F -4 3 m'
_space_group_IT_number 216
_space_group_name_Hall 'F -4 2 3'
loop_
_atom_site_label
_atom_site_type_symbol
_atom_site_fract_x
_atom_site_fract_y
_atom_site_fract_z
_atom_site_occupancy
Nd1 Nd 0.0000 0.0000 0.0000 1
Dy1 Dy 0.2500 0.2500 0.2500 1
Th1 Th 0.0000 0.0000 0.5000 1
```

Properties
The polymorph energy (0 for the lowest one) comes out at 0.0 meV/atom. The value obtained for the calculated total energy is -57.724 eV for the cell shown. The calculation puts the energy of formation at 0.782 eV/atom.

[8]
VASP calculation (GGA-PBE) on a relaxed Li2HgB crystal.

Structure (CIF):
```
data_Li2HgB
_cell_length_a 5.8650
_cell_length_b 5.8650
_cell_length_c 5.8650
_cell_angle_alpha 90.00
_cell_angle_beta 90.00
_cell_angle_gamma 90.00
_space_group_name_H-M_alt 'F -4 3 m'
_space_group_IT_number 216
_space_group_name_Hall 'F -4 2 3'
loop_
_atom_site_label
_atom_site_type_symbol
_atom_site_fract_x
_atom_site_fract_y
_atom_site_fract_z
_atom_site_occupancy
Li1 Li 0.0000 0.0000 0.0000 1
Li2 Li 0.2500 0.2500 0.2500 1
Hg1 Hg 0.2500 0.2500 0.7500 1
B1 B 0.0000 0.0000 0.5000 1
```

Properties
The value obtained for the calculated total energy is -39.246 eV for the cell shown.

[9]
VASP calculation (GGA-PBE) on a relaxed CsZrO3 crystal.

Structure (CIF):
```
data_CsZrO3
_cell_length_a 4.2988
_cell_length_b 4.2988
_cell_length_c 4.2988
_cell_angle_alpha 90.00
_cell_angle_beta 90.00
_cell_angle_gamma 90.00
_space_group_name_H-M_alt 'P m -3 m'
_space_group_IT_number 221
_space_group_name_Hall '-P 4 2 3'
loop_
_atom_site_label
_atom_site_type_symbol
_atom_site_fract_x
_atom_site_fract_y
_atom_site_fract_z
_atom_site_occupancy
Cs1 Cs 0.0000 0.0000 0.0000 1
Zr1 Zr 0.5000 0.5000 0.5000 1
O1 O 0.0000 0.5000 0.5000 1
```

Properties
The value obtained for the calculated total energy is -35.482 eV for the cell shown.

[10]
VASP calculation (GGA-PBE) on a relaxed Y2SiAu crystal.

Structure (CIF):
```
data_Y2SiAu
_cell_length_a 4.2250
_cell_length_b 4.0924
_cell_length_c 10.8858
_cell_angle_alpha 90.00
_cell_angle_beta 90.00
_cell_angle_gamma 90.00
_space_group_name_H-M_alt 'A m m 2'
_space_group_IT_number 38
_space_group_name_Hall 'A 2 -2'
loop_
_atom_site_label
_atom_site_type_symbol
_atom_site_fract_x
_atom_site_fract_y
_atom_site_fract_z
_atom_site_occupancy
Y1 Y 0.0000 0.0000 0.0000 1
Y2 Y 0.5000 0.0000 0.2801 1
Si1 Si 0.5000 0.0000 0.5573 1
Au1 Au 0.0000 0.0000 0.7190 1
```

Properties
The value obtained for the calculated total energy is -49.895 eV for the cell shown.

[11]
VASP calculation (GGA-PBE) on a relaxed TbAlO3 crystal.

Structure (CIF):
```
data_TbAlO3
_cell_length_a 5.3355
_cell_length_b 7.4041
_cell_length_c 5.1976
_cell_angle_alpha 90.00
_cell_angle_beta 90.00
_cell_angle_gamma 90.00
_space_group_name_H-M_alt 'P n m a'
_space_group_IT_number 62
_space_group_name_Hall '-P 2ac 2n'
loop_
_atom_site_label
_atom_site_type_symbol
_atom_site_fract_x
_atom_site_fract_y
_atom_site_fract_z
_atom_site_occupancy
Tb1 Tb 0.0518 0.2500 0.0121 1
Al1 Al 0.0000 0.0000 0.5000 1
O1 O 0.0206 0.7500 0.4174 1
O2 O 0.2074 0.5437 0.7924 1
```

Properties
The value obtained for the calculated total energy is -159.373 eV for the cell shown.

[12]
VASP calculation (GGA-PBE) on a relaxed NaGdPt4 crystal.

Structure (CIF):
```
data_NaGdPt4
_cell_length_a 7.6423
_cell_length_b 7.6423
_cell_length_c 7.6423
_cell_angle_alpha 90.00
_cell_angle_beta 90.00
_cell_angle_gamma 90.00
_space_group_name_H-M_alt 'F -4 3 m'
_space_group_IT_number 216
_space_group_name_Hall 'F -4 2 3'
loop_
_atom_site_label
_atom_site_type_symbol
_atom_site_fract_x
_atom_site_fract_y
_atom_site_fract_z
_atom_site_occupancy
Na1 Na 0.0000 0.0000 0.0000 1
Gd1 Gd 0.2500 0.2500 0.2500 1
Pt1 Pt 0.1253 0.1253 0.6253 1
```

Properties
The value obtained for the calculated total energy is -140.539 eV for the cell shown.

For reference, calculated density by record: 8.81; 7.69; 4.32; 7.06; 6.28; 12.03; 7.80; 7.42; 5.69; 7.11; 7.57; 14.29 g/cm³.